Record 1
The following is a PBEsol calculation of crystalline SiAg2Ru at its relaxed geometry, from Alexandria.

Lattice parameters (Å, degrees): 2.6600 2.6600 8.6629 90.00 90.00 90.00
Element x y z (fractional)
1 Si 0.5000 0.5000 0.5000
2 Ag 0.0000 0.0000 0.2480
3 Ag 0.0000 0.0000 0.7520
4 Ru 0.5000 0.5000 0.0000

* V: 15.32 A^3/atom
* uncorrected energy: -5.153 eV/atom
* theoretical density: 9.3 Mg/m³
* formation energy from raw total energies: 1.930 eV/f.u.


Record 2
The following is a PBEsol calculation of crystalline Ti3NbAl2 at its relaxed geometry, from Alexandria.

Lattice parameters (Å, degrees): 4.5482 4.5482 5.4158 90.00 90.00 120.00
Element x y z (fractional)
1 Ti 0.0000 0.0000 0.0000
2 Ti 0.3333 0.6667 0.7274
3 Ti 0.6667 0.3333 0.2726
4 Nb 0.0000 0.0000 0.5000
5 Al 0.3333 0.6667 0.2325
6 Al 0.6667 0.3333 0.7675

* V: 16.17 A^3/atom
* energy of formation from the pure elements: -0.322 eV/atom
* uncorrected energy: -7.651 eV/atom
* theoretical density: 5.0 Mg/m³


Record 3
The following is a PBEsol calculation of crystalline TlBiP2Se6 at its relaxed geometry, from Alexandria.

Lattice parameters (Å, degrees): 7.4939 12.1849 22.7113 97.78 90.00 90.00
Element x y z (fractional)
1 Se 0.8097 0.5668 0.4097
2 Se 0.7354 0.4697 0.5489
3 Se 0.1792 0.7242 0.3454
4 Se 0.2646 0.5303 0.4511
5 Se 0.3208 0.7242 0.8454
6 Se 0.9856 0.2775 0.4677
7 Se 0.1903 0.4332 0.5903
8 Se 0.1912 0.9941 0.4428
9 Se 0.6903 0.5668 0.9097
10 Se 0.3020 0.1829 0.3427
11 Se 0.8208 0.2758 0.6546
12 Se 0.5057 0.1976 0.5296
13 Se 0.4975 0.0531 0.2206
14 Se 0.1866 0.2518 0.1931
15 Se 0.5042 0.4576 0.2881
16 Se 0.6912 0.0059 0.0572
17 Se 0.0042 0.5424 0.2119
18 Se 0.2354 0.5303 0.9511
19 Se 0.9958 0.4576 0.7881
20 Se 0.0057 0.8024 0.9704
21 Se 0.3088 0.9941 0.9428
22 Se 0.0025 0.0531 0.7206
23 Se 0.6866 0.7482 0.3069
24 Se 0.6980 0.8171 0.6573
25 Se 0.7213 0.2168 0.7968
26 Se 0.2787 0.7832 0.2032
27 Se 0.5025 0.9469 0.7794
28 Se 0.3134 0.2518 0.6931
29 Se 0.9975 0.9469 0.2794
30 Se 0.6739 0.0216 0.4040
31 Se 0.8020 0.8171 0.1573
32 Se 0.8261 0.0216 0.9040
33 Se 0.1980 0.1829 0.8427
34 Se 0.9943 0.1976 0.0296
35 Se 0.5144 0.2775 0.9677
36 Se 0.3097 0.4332 0.0903
37 Se 0.8134 0.7482 0.8069
38 Se 0.7787 0.2168 0.2968
39 Se 0.4958 0.5424 0.7119
40 Se 0.0144 0.7225 0.5323
41 Se 0.4943 0.8024 0.4704
42 Se 0.6792 0.2758 0.1546
43 Se 0.7646 0.4697 0.0489
44 Se 0.8088 0.0059 0.5572
45 Se 0.2213 0.7832 0.7032
46 Se 0.1739 0.9784 0.0960
47 Se 0.4856 0.7225 0.0323
48 Se 0.3261 0.9784 0.5960
49 Bi 0.8582 0.8035 0.4227
50 Bi 0.1353 0.9348 0.8251
51 Bi 0.6418 0.8035 0.9227
52 Bi 0.3582 0.1965 0.0773
53 Bi 0.1418 0.1965 0.5773
54 Bi 0.3647 0.9348 0.3251
55 Bi 0.8647 0.0652 0.1749
56 Bi 0.6353 0.0652 0.6749
57 P 0.4044 0.4008 0.6530
58 P 0.0956 0.1423 0.4046
59 P 0.8736 0.3350 0.0915
60 P 0.9044 0.8577 0.5954
61 P 0.4044 0.1423 0.9046
62 P 0.9044 0.5992 0.8470
63 P 0.6264 0.3350 0.5915
64 P 0.6286 0.0814 0.8433
65 P 0.5956 0.8577 0.0954
66 P 0.0956 0.4008 0.1530
67 P 0.8714 0.0814 0.3433
68 P 0.3736 0.6650 0.4085
69 P 0.5956 0.5992 0.3470
70 P 0.1264 0.6650 0.9085
71 P 0.1286 0.9186 0.6567
72 P 0.3714 0.9186 0.1567
73 Tl 0.5795 0.3425 0.4221
74 Tl 0.4205 0.6575 0.5779
75 Tl 0.9064 0.5837 0.6756
76 Tl 0.5936 0.5837 0.1756
77 Tl 0.4064 0.4163 0.8244
78 Tl 0.0795 0.6575 0.0779
79 Tl 0.0936 0.4163 0.3244
80 Tl 0.9205 0.3425 0.9221

* V: 25.68 A^3/atom
* uncorrected energy: -4.388 eV/atom
* theoretical density: 6.1 Mg/m³
* formation energy from raw total energies: -2.280 eV/f.u.